[1]
Compound: NaLaIn4
Source: the Alexandria database
Functional: PBE-GGA
Structure: optimized geometry

Values from the calculation:
Volume ... 166.4 Å³/f.u.
Distance to the lowest polymorph of the same formula ... 80 meV/atom
Energy ... -3.126 eV/atom

Lattice parameters (Å, degrees): 6.1737 6.1737 6.1737 60.00 60.00 60.00
Atoms (fractional coordinates):
In (0.6248, 0.6248, 0.6248)
In (0.6248, 0.1257, 0.6248)
In (0.6248, 0.6248, 0.1257)
In (0.1257, 0.6248, 0.6248)
Na (0.0000, 0.0000, 0.0000)
La (0.2500, 0.2500, 0.2500)

[2]
Compound: NaLa5In6
Source: the Alexandria database
Functional: PBE-GGA
Structure: optimized geometry

Values from the calculation:
Volume ... 363.0 Å³/f.u.
Energy ... -3.980 eV/atom

Lattice parameters (Å, degrees): 5.5304 7.8783 8.7828 90.00 71.57 90.00
Atoms (fractional coordinates):
La (0.3294, 0.5000, 0.3400)
La (0.0000, 0.5000, 0.0000)
La (0.6706, 0.5000, 0.6600)
La (0.3387, 0.0000, 0.3217)
La (0.6613, 0.0000, 0.6783)
In (0.1632, 0.7600, 0.6748)
In (0.5000, 0.2483, 0.0000)
In (0.8368, 0.2400, 0.3252)
In (0.1632, 0.2400, 0.6748)
In (0.8368, 0.7600, 0.3252)
In (0.5000, 0.7517, 0.0000)
Na (0.0000, 0.0000, 0.0000)

[3]
Compound: NaLa2In2
Source: the Alexandria database
Functional: PBE-GGA
Structure: optimized geometry

Values from the calculation:
Volume ... 165.1 Å³/f.u.
Distance to the lowest polymorph of the same formula ... 69 meV/atom
Energy ... -3.567 eV/atom

Lattice parameters (Å, degrees): 9.8591 9.8591 3.3981 90.00 90.00 90.00
Atoms (fractional coordinates):
In (0.3336, 0.1664, 0.5000)
In (0.1664, 0.6664, 0.5000)
In (0.6664, 0.8336, 0.5000)
In (0.8336, 0.3336, 0.5000)
La (0.3689, 0.8689, 0.0000)
La (0.8689, 0.6311, 0.0000)
La (0.6311, 0.1311, 0.0000)
La (0.1311, 0.3689, 0.0000)
Na (0.0000, 0.0000, 0.0000)
Na (0.5000, 0.5000, 0.0000)

[4]
Compound: NaLa3In12
Source: the Alexandria database
Functional: PBE-GGA
Structure: optimized geometry

Values from the calculation:
Volume ... 432.0 Å³/f.u.
Energy ... -3.436 eV/atom

Lattice parameters (Å, degrees): 4.7699 4.7699 18.9867 90.00 90.00 90.00
Atoms (fractional coordinates):
In (0.5000, 0.0000, 0.6267)
In (0.5000, 0.5000, 0.5000)
In (0.5000, 0.0000, 0.3733)
In (0.0000, 0.5000, 0.3733)
In (0.5000, 0.5000, 0.0000)
In (0.5000, 0.0000, 0.1189)
In (0.0000, 0.5000, 0.1189)
In (0.0000, 0.5000, 0.8811)
In (0.5000, 0.5000, 0.2527)
In (0.0000, 0.5000, 0.6267)
In (0.5000, 0.0000, 0.8811)
In (0.5000, 0.5000, 0.7473)
La (0.0000, 0.0000, 0.2462)
La (0.0000, 0.0000, 0.7538)
La (0.0000, 0.0000, 0.5000)
Na (0.0000, 0.0000, 0.0000)

[5]
Compound: NaLa5In4
Source: the Alexandria database
Functional: PBE-GGA
Structure: optimized geometry

Values from the calculation:
Volume ... 320.8 Å³/f.u.
Energy ... -4.064 eV/atom

Lattice parameters (Å, degrees): 3.9037 3.9037 21.0523 90.00 90.00 90.00
Atoms (fractional coordinates):
La (0.5000, 0.5000, 0.6912)
La (0.5000, 0.5000, 0.1194)
La (0.5000, 0.5000, 0.5000)
La (0.5000, 0.5000, 0.3088)
La (0.5000, 0.5000, 0.8806)
In (0.0000, 0.0000, 0.7909)
In (0.0000, 0.0000, 0.4042)
In (0.0000, 0.0000, 0.2091)
In (0.0000, 0.0000, 0.5958)
Na (0.0000, 0.0000, 0.0000)

[6]
Compound: Na2LaIn2
Source: the Alexandria database
Functional: PBE-GGA
Structure: optimized geometry

Values from the calculation:
Volume ... 140.2 Å³/f.u.
Distance to the lowest polymorph of the same formula ... 20 meV/atom
Energy ... -2.741 eV/atom

Lattice parameters (Å, degrees): 9.3064 9.3064 3.2366 90.00 90.00 90.00
Atoms (fractional coordinates):
In (0.1852, 0.6852, 0.5000)
In (0.8148, 0.3148, 0.5000)
In (0.6852, 0.8148, 0.5000)
In (0.3148, 0.1852, 0.5000)
Na (0.6147, 0.1147, 0.0000)
Na (0.3853, 0.8853, 0.0000)
Na (0.8853, 0.6147, 0.0000)
Na (0.1147, 0.3853, 0.0000)
La (0.0000, 0.0000, 0.0000)
La (0.5000, 0.5000, 0.0000)

[7]
Compound: Na2LaIn2
Source: the Alexandria database
Functional: PBE-GGA
Structure: optimized geometry

Values from the calculation:
Volume ... 147.7 Å³/f.u.
Distance to the lowest polymorph of the same formula ... 115 meV/atom
Energy ... -2.645 eV/atom

Lattice parameters (Å, degrees): 9.0455 9.0455 3.6105 90.00 90.00 90.00
Atoms (fractional coordinates):
La (0.5000, 0.5000, 0.0000)
La (0.0000, 0.0000, 0.0000)
In (0.8744, 0.6256, 0.0000)
In (0.1256, 0.3744, 0.0000)
In (0.6256, 0.1256, 0.0000)
In (0.3744, 0.8744, 0.0000)
Na (0.1695, 0.6695, 0.5000)
Na (0.3305, 0.1695, 0.5000)
Na (0.8305, 0.3305, 0.5000)
Na (0.6695, 0.8305, 0.5000)

[8]
Compound: Na2LaIn2
Source: the Alexandria database
Functional: PBE-GGA
Structure: optimized geometry

Values from the calculation:
Volume ... 152.9 Å³/f.u.
Distance to the lowest polymorph of the same formula ... 0 meV/atom
Energy ... -2.761 eV/atom

Lattice parameters (Å, degrees): 4.5299 4.5299 8.1102 73.78 73.78 90.00
Atoms (fractional coordinates):
La (0.0000, 0.0000, 0.0000)
Na (0.7500, 0.2500, 0.5000)
Na (0.2500, 0.7500, 0.5000)
In (0.5968, 0.5968, 0.8064)
In (0.4032, 0.4032, 0.1936)

[9]
Compound: NaLa2In2
Source: the Alexandria database
Functional: PBE-GGA
Structure: optimized geometry

Values from the calculation:
Volume ... 163.2 Å³/f.u.
Distance to the lowest polymorph of the same formula ... 0 meV/atom
Energy ... -3.636 eV/atom

Lattice parameters (Å, degrees): 9.3411 9.3411 3.7401 90.00 90.00 90.00
Atoms (fractional coordinates):
La (0.8243, 0.3243, 0.5000)
La (0.6757, 0.8243, 0.5000)
La (0.3243, 0.1757, 0.5000)
La (0.1757, 0.6757, 0.5000)
In (0.1188, 0.3812, 0.0000)
In (0.3812, 0.8812, 0.0000)
In (0.6188, 0.1188, 0.0000)
In (0.8812, 0.6188, 0.0000)
Na (0.5000, 0.5000, 0.0000)
Na (0.0000, 0.0000, 0.0000)

[10]
Compound: Na4LaIn15
Source: the Alexandria database
Functional: PBE-GGA
Structure: optimized geometry

Values from the calculation:
Volume ... 527.5 Å³/f.u.
Energy ... -2.716 eV/atom

Lattice parameters (Å, degrees): 4.6802 4.6802 24.0795 90.00 90.00 90.00
Atoms (fractional coordinates):
In (0.0000, 0.5000, 0.5000)
In (0.5000, 0.0000, 0.6991)
In (0.5000, 0.5000, 0.0000)
In (0.5000, 0.5000, 0.5975)
In (0.0000, 0.5000, 0.1035)
In (0.5000, 0.0000, 0.8965)
In (0.5000, 0.5000, 0.8013)
In (0.5000, 0.0000, 0.3009)
In (0.5000, 0.5000, 0.1987)
In (0.5000, 0.0000, 0.5000)
In (0.0000, 0.5000, 0.8965)
In (0.5000, 0.5000, 0.4025)
In (0.0000, 0.5000, 0.6991)
In (0.5000, 0.0000, 0.1035)
In (0.0000, 0.5000, 0.3009)
Na (0.0000, 0.0000, 0.5995)
Na (0.0000, 0.0000, 0.4005)
Na (0.0000, 0.0000, 0.7988)
Na (0.0000, 0.0000, 0.2012)
La (0.0000, 0.0000, 0.0000)

[11]
Compound: NaLa2In9
Source: the Alexandria database
Functional: PBE-GGA
Structure: optimized geometry

Values from the calculation:
Volume ... 322.5 Å³/f.u.
Energy ... -3.323 eV/atom

Lattice parameters (Å, degrees): 4.7575 4.7575 14.2464 90.00 90.00 90.00
Atoms (fractional coordinates):
Na (0.0000, 0.0000, 0.0000)
In (0.5000, 0.5000, 0.6628)
In (0.0000, 0.5000, 0.8410)
In (0.5000, 0.0000, 0.1590)
In (0.5000, 0.5000, 0.0000)
In (0.5000, 0.0000, 0.8410)
In (0.0000, 0.5000, 0.1590)
In (0.5000, 0.0000, 0.5000)
In (0.0000, 0.5000, 0.5000)
In (0.5000, 0.5000, 0.3372)
La (0.0000, 0.0000, 0.6698)
La (0.0000, 0.0000, 0.3302)

[12]
Compound: NaLaIn4
Source: the Alexandria database
Functional: PBE-GGA
Structure: optimized geometry

Values from the calculation:
Volume ... 173.3 Å³/f.u.
Distance to the lowest polymorph of the same formula ... 0 meV/atom
Energy ... -3.206 eV/atom

Lattice parameters (Å, degrees): 4.9856 6.4182 6.4177 75.72 67.14 67.15
Atoms (fractional coordinates):
In (0.6754, 0.6226, 0.5265)
In (0.3246, 0.3774, 0.4735)
In (0.6756, 0.0262, 0.1227)
In (0.3244, 0.9738, 0.8773)
Na (0.0000, 0.5000, 0.0000)
La (0.0000, 0.0000, 0.5000)